P.
A plane-wave DFT calculation with PBE was carried out for an optimized crystal structure of TcBi.

a = 4.4459 Å, b = 4.4459 Å, c = 5.1362 Å
α = 90.00°, β = 90.00°, γ = 120.00°
Fractional coordinates of all 4 atoms:
Tc 0.0000 0.0000 0.5000
Tc 0.0000 0.0000 0.0000
Bi 0.3333 0.6667 0.7500
Bi 0.6667 0.3333 0.2500

- M_tot: 0.00 μB/f.u.
- Calculated density: 11.60 g/cm³


Q.
A plane-wave DFT calculation with PBE was carried out for an optimized crystal structure of TcBi.

a = 3.3752 Å, b = 3.3751 Å, c = 4.1069 Å
α = 90.00°, β = 90.00°, γ = 120.00°
Fractional coordinates of all 2 atoms:
Tc 0.3333 0.6667 0.2500
Bi 0.6667 0.3333 0.7500

- M_tot: 0.00 μB/f.u.
- Calculated density: 12.58 g/cm³


R.
A plane-wave DFT calculation with PBE was carried out for an optimized crystal structure of TcBi.

a = 5.1941 Å, b = 4.6142 Å, c = 7.5632 Å
α = 90.00°, β = 90.00°, γ = 90.00°
Fractional coordinates of all 8 atoms:
Tc 0.0000 0.5000 0.5000
Bi 0.7500 0.5000 0.1477
Tc 0.7500 0.0000 0.3742
Bi 0.2500 0.0000 0.2551
Tc 0.2500 0.0000 0.6258
Tc 0.5000 0.5000 0.5000
Bi 0.7500 0.0000 0.7449
Bi 0.2500 0.5000 0.8523

- M_tot: 0.01 μB/f.u.
- Calculated density: 11.25 g/cm³


Stability check: which of them is least stable? Q.


P.
A plane-wave DFT calculation with PBE was carried out for an optimized crystal structure of TcBi.

a = 5.4711 Å, b = 4.0808 Å, c = 4.1984 Å
α = 90.00°, β = 90.00°, γ = 111.90°
Fractional coordinates of all 4 atoms:
Bi 0.7005 0.8502 0.2500
Bi 0.2995 0.1498 0.7500
Tc 0.1212 0.5606 0.2500
Tc 0.8788 0.4394 0.7500

- M_tot: 0.00 μB/f.u.
- Calculated density: 11.72 g/cm³


Q.
A plane-wave DFT calculation with PBE was carried out for an optimized crystal structure of TcBi.

a = 3.9949 Å, b = 3.9949 Å, c = 3.9949 Å
α = 60.00°, β = 60.00°, γ = 60.00°
Last column: magnetic moment on the atom in μB.
Fractional coordinates of all 2 atoms:
Bi 0.0000 0.0000 0.0000  -0.05
Tc 0.5000 0.5000 0.5000  1.42

- M_tot: 1.51 μB/f.u.
- Calculated density: 11.31 g/cm³


R.
A plane-wave DFT calculation with PBE was carried out for an optimized crystal structure of TcBi.

a = 4.3468 Å, b = 4.3468 Å, c = 4.3468 Å
α = 60.00°, β = 60.00°, γ = 60.00°
Last column: magnetic moment on the atom in μB.
Fractional coordinates of all 2 atoms:
Tc 0.2500 0.2500 0.2500  0.72
Bi 0.0000 0.0000 0.0000  -0.05

- M_tot: 0.76 μB/f.u.
- Calculated density: 8.78 g/cm³


Stability check: which of them is least stable? R.


P.
A plane-wave DFT calculation with PBE was carried out for an optimized crystal structure of TmTlBi.

a = 5.1929 Å, b = 5.1929 Å, c = 5.1929 Å
α = 60.00°, β = 60.00°, γ = 60.00°
Fractional coordinates of all 3 atoms:
Tl 0.0000 0.0000 0.0000
Tm 0.7500 0.7500 0.7500
Bi 0.2500 0.2500 0.2500

- M_tot: 0.00 μB/f.u.
- Calculated density: 9.77 g/cm³


Q.
A plane-wave DFT calculation with PBE was carried out for an optimized crystal structure of TmTlBi.

a = 5.1884 Å, b = 5.1884 Å, c = 5.1884 Å
α = 60.00°, β = 60.00°, γ = 60.00°
Fractional coordinates of all 3 atoms:
Tm 0.0000 0.0000 0.0000
Bi 0.2500 0.2500 0.2500
Tl 0.7500 0.7500 0.7500

- M_tot: 0.00 μB/f.u.
- Calculated density: 9.79 g/cm³


Stability check: which of them is least stable? P.


P.
A plane-wave DFT calculation with PBE was carried out for an optimized crystal structure of Tm5Bi3.

a = 11.7987 Å, b = 9.3798 Å, c = 8.1691 Å
α = 90.00°, β = 90.00°, γ = 90.00°
Fractional coordinates of all 32 atoms:
Bi 0.8244 0.9919 0.9374
Bi 0.6756 0.4919 0.4374
Tm 0.4364 0.0639 0.1889
Bi 0.8244 0.5081 0.9374
Bi 0.3244 0.9919 0.5626
Tm 0.0636 0.9361 0.6889
Tm 0.5636 0.9361 0.8111
Bi 0.1756 0.4919 0.0626
Tm 0.2285 0.7500 0.3261
Bi 0.4713 0.7500 0.1032
Bi 0.5287 0.2500 0.8968
Bi 0.9713 0.7500 0.3968
Tm 0.4364 0.4361 0.1889
Tm 0.7285 0.7500 0.1739
Tm 0.7715 0.2500 0.6739
Tm 0.0636 0.5639 0.6889
Tm 0.9364 0.4361 0.3111
Tm 0.7895 0.7500 0.6611
Tm 0.2715 0.2500 0.8261
Tm 0.5054 0.7500 0.4804
Tm 0.9946 0.2500 0.9804
Bi 0.0287 0.2500 0.6032
Tm 0.0054 0.7500 0.0196
Bi 0.1756 0.0081 0.0626
Tm 0.2895 0.7500 0.8389
Bi 0.3244 0.5081 0.5626
Tm 0.7105 0.2500 0.1611
Tm 0.2105 0.2500 0.3389
Tm 0.5636 0.5639 0.8111
Bi 0.6756 0.0081 0.4374
Tm 0.9364 0.0639 0.3111
Tm 0.4946 0.2500 0.5196

- M_tot: 0.01 μB/f.u.
- Calculated density: 10.81 g/cm³


Q.
A plane-wave DFT calculation with PBE was carried out for an optimized crystal structure of Tm5Bi3.

a = 9.0462 Å, b = 9.0462 Å, c = 6.2819 Å
α = 90.00°, β = 90.00°, γ = 120.00°
Fractional coordinates of all 16 atoms:
Bi 0.0000 0.3900 0.2500
Tm 0.2417 0.0000 0.7500
Tm 0.0000 0.7583 0.2500
Bi 0.6100 0.6100 0.2500
Bi 0.6100 0.0000 0.7500
Bi 0.0000 0.6100 0.7500
Tm 0.3333 0.6667 0.5000
Bi 0.3900 0.3900 0.7500
Tm 0.3333 0.6667 0.0000
Tm 0.7583 0.0000 0.2500
Tm 0.2417 0.2417 0.2500
Tm 0.6667 0.3333 0.0000
Tm 0.7583 0.7583 0.7500
Tm 0.0000 0.2417 0.7500
Bi 0.3900 0.0000 0.2500
Tm 0.6667 0.3333 0.5000

- M_tot: 0.08 μB/f.u.
- Calculated density: 10.98 g/cm³


Stability check: which of them is least stable? Q.


P.
A plane-wave DFT calculation with PBE was carried out for an optimized crystal structure of UBiW.

a = 4.8546 Å, b = 4.8546 Å, c = 4.8546 Å
α = 60.00°, β = 60.00°, γ = 60.00°
Fractional coordinates of all 3 atoms:
W 0.0000 0.0000 0.0000
Bi 0.5000 0.5000 0.5000
U 0.7500 0.7500 0.7500

- M_tot: 0.05 μB/f.u.
- Calculated density: 12.95 g/cm³


Q.
A plane-wave DFT calculation with PBE was carried out for an optimized crystal structure of UBiW.

a = 4.7635 Å, b = 4.7635 Å, c = 4.7635 Å
α = 60.00°, β = 60.00°, γ = 60.00°
Last column: magnetic moment on the atom in μB.
Fractional coordinates of all 3 atoms:
Bi 0.0000 0.0000 0.0000  0.01
U 0.5000 0.5000 0.5000  2.12
W 0.2500 0.2500 0.2500  0.33

- M_tot: 2.79 μB/f.u.
- Calculated density: 13.71 g/cm³


Stability check: which of them is least stable? P.


P.
A plane-wave DFT calculation with PBE was carried out for an optimized crystal structure of Dy4CBr2Cl3.

a = 8.9780 Å, b = 8.9780 Å, c = 7.8123 Å
α = 102.93°, β = 102.93°, γ = 24.08°
Fractional coordinates of all 10 atoms:
Cl 0.5000 0.5000 0.5000
C 0.5000 0.5000 0.0000
Br 0.8293 0.8293 0.1807
Dy 0.6401 0.6401 0.0775
Cl 0.1597 0.1597 0.3356
Dy 0.0000 0.0000 0.2106
Dy 0.0000 0.0000 0.7894
Cl 0.8403 0.8403 0.6644
Dy 0.3599 0.3599 0.9225
Br 0.1707 0.1707 0.8193

- M_tot: 0.08 μB/f.u.
- Calculated density: 6.16 g/cm³


Q.
A plane-wave DFT calculation with PBE was carried out for an optimized crystal structure of Dy4CBr2Cl3.

a = 8.7859 Å, b = 8.7859 Å, c = 7.8463 Å
α = 102.23°, β = 102.23°, γ = 24.65°
Fractional coordinates of all 10 atoms:
Br 0.8331 0.8331 0.6488
Cl 0.5000 0.5000 0.5000
Dy 0.6428 0.6428 0.0735
Cl 0.1708 0.1708 0.8366
Dy 0.0025 0.0025 0.7914
Br 0.1669 0.1669 0.3512
Cl 0.8292 0.8292 0.1634
Dy 0.3572 0.3572 0.9265
Dy 0.9975 0.9975 0.2086
C 0.5000 0.5000 0.0000

- M_tot: 0.04 μB/f.u.
- Calculated density: 6.25 g/cm³


Stability check: which of them is least stable? Q.


P.
A plane-wave DFT calculation with PBE was carried out for an optimized crystal structure of Nd2Dy2CIBr2Cl2.

a = 9.0024 Å, b = 9.0024 Å, c = 8.5035 Å
α = 104.96°, β = 104.96°, γ = 24.90°
Last column: magnetic moment on the atom in μB.
Fractional coordinates of all 10 atoms:
Dy 0.9991 0.9991 0.1915  0.02
Cl 0.1652 0.1652 0.8442  0.00
Br 0.8335 0.8335 0.6504  0.00
C 0.5000 0.5000 0.0000  0.00
Nd 0.6477 0.6477 0.0815  0.07
Dy 0.0009 0.0009 0.8085  0.02
Nd 0.3523 0.3523 0.9185  0.07
Br 0.1665 0.1665 0.3496  0.00
I 0.5000 0.5000 0.5000  0.00
Cl 0.8348 0.8348 0.1558  0.00

- M_tot: 0.35 μB/f.u.
- Calculated density: 5.83 g/cm³


Q.
A plane-wave DFT calculation with PBE was carried out for an optimized crystal structure of Nd2Dy2CIBr2Cl2.

a = 8.9012 Å, b = 8.9012 Å, c = 8.8581 Å
α = 104.08°, β = 104.08°, γ = 25.48°
Fractional coordinates of all 10 atoms:
Dy 0.6430 0.6430 0.0703
Br 0.8234 0.8234 0.6876
Br 0.1766 0.1766 0.3124
I 0.5000 0.5000 0.5000
Cl 0.8265 0.8265 0.1271
C 0.5000 0.5000 0.0000
Cl 0.1735 0.1735 0.8729
Nd 0.9993 0.9993 0.1954
Nd 0.0008 0.0008 0.8046
Dy 0.3570 0.3570 0.9297

- M_tot: 0.01 μB/f.u.
- Calculated density: 5.58 g/cm³


Stability check: which of them is least stable? P.


P.
A plane-wave DFT calculation with PBE was carried out for an optimized crystal structure of Pr2Dy2CI2Br2Cl.

a = 9.6026 Å, b = 9.6026 Å, c = 8.2297 Å
α = 102.52°, β = 102.52°, γ = 23.36°
Fractional coordinates of all 10 atoms:
Dy 0.9996 0.9996 0.2033
Pr 0.3608 0.3608 0.9245
C 0.5000 0.5000 0.0000
I 0.1677 0.1677 0.7926
Br 0.8466 0.8466 0.6470
Dy 0.0004 0.0004 0.7967
Cl 0.5000 0.5000 0.5000
I 0.8323 0.8323 0.2074
Br 0.1534 0.1534 0.3530
Pr 0.6392 0.6392 0.0755

- M_tot: 0.04 μB/f.u.
- Calculated density: 6.04 g/cm³


Q.
A plane-wave DFT calculation with PBE was carried out for an optimized crystal structure of Pr2Dy2CI2Br2Cl.

a = 9.7011 Å, b = 9.7011 Å, c = 8.2510 Å
α = 101.92°, β = 101.92°, γ = 23.48°
Fractional coordinates of all 10 atoms:
Pr 0.9996 0.9996 0.2146
Pr 0.0004 0.0004 0.7854
I 0.8265 0.8265 0.1807
Br 0.8385 0.8385 0.6735
Dy 0.6300 0.6300 0.0686
C 0.5000 0.5000 0.0000
Br 0.1615 0.1615 0.3265
I 0.1735 0.1735 0.8193
Cl 0.5000 0.5000 0.5000
Dy 0.3700 0.3700 0.9314

- M_tot: 0.04 μB/f.u.
- Calculated density: 5.86 g/cm³


Stability check: which of them is least stable? P.